An optimized crystal structure of Sr2PuPtO6. Source: Alexandria, functional PBE.

abc: 6.2940 6.2940 5.2594
angles: 110.25 110.25 53.78
Positions (direct):
1 Sr 0.2347 0.2347 0.2076
2 Sr 0.7653 0.7653 0.7924
3 Pu 0.5000 0.5000 0.0000
4 Pt 0.0000 0.0000 0.5000
5 O 0.1609 0.6820 0.1962
6 O 0.3180 0.8391 0.8038
7 O 0.3261 0.3261 0.7158
8 O 0.6739 0.6739 0.2842
9 O 0.6820 0.1609 0.1962
10 O 0.8391 0.3180 0.8038

Computed properties:
**E_form (uncorrected)**: -2361 meV per atom
**Total magnetization**: 2.00 Bohr magnetons per cell
**Energy**: -77.095 eV/cell

***

An optimized crystal structure of PrTh5Sc4. Source: Alexandria, functional PBE.

abc: 3.4862 3.4862 24.3028
angles: 90.00 90.00 90.00
Positions (direct):
1 Pr 0.0000 0.0000 0.0000
2 Th 0.5000 0.5000 0.1116
3 Th 0.5000 0.5000 0.3061
4 Th 0.5000 0.5000 0.5000
5 Th 0.5000 0.5000 0.6939
6 Th 0.5000 0.5000 0.8884
7 Sc 0.0000 0.0000 0.2090
8 Sc 0.0000 0.0000 0.4030
9 Sc 0.0000 0.0000 0.5970
10 Sc 0.0000 0.0000 0.7910

Computed properties:
**E_form**: 0.05 eV/atom
**Total magnetization**: 0.00 Bohr magnetons per cell
**Energy**: -66.736 eV/cell